First-principles (PBE-GGA) data for a relaxed structure of ReNiAs2, as listed in the Alexandria database.

## Properties
**Distance to the lowest polymorph of the same formula**: 424 meV/atom
**SG**: I-4m2, No. 119
**Calculated density**: 11.052 g/cm³
**Calculated volume**: 14.83 Å³ per atom
**Calculated formation energy**: 0.43 eV/atom

a b c (Å): 5.110 5.110 5.110
angles (deg): 137.90 137.90 61.06
Element x y z (fractional)
Re 0.000 0.000 0.000
Ni 0.750 0.250 0.500
As 0.250 0.750 0.500
As 0.500 0.500 0.000